1.
VASP calculation (PBE) on an optimized crystal structure of Ac3Tl4InS8.

Computed properties:
**Space-group type**: R-3m, No. 166
**Formation energy without anion corrections**: -1.20 eV per atom

Unit cell a=8.609 b=8.998 c=8.609 alpha=118.57 beta=120.00 gamma=90.00
Fractional coordinates of all 16 atoms:
Ac 0.500 0.500 0.000
Ac 0.500 0.500 0.500
Ac 0.000 0.500 0.500
Tl 0.500 0.000 0.000
Tl 0.500 0.000 0.500
Tl 0.000 0.000 0.000
Tl 0.000 0.000 0.500
In 0.000 0.500 0.000
S 0.224 0.706 0.981
S 0.224 0.706 0.449
S 0.262 0.287 0.524
S 0.757 0.706 0.981
S 0.243 0.294 0.019
S 0.738 0.713 0.476
S 0.776 0.294 0.551
S 0.776 0.294 0.019


2.
VASP calculation (PBE) on an optimized crystal structure of Zn2CuW.

Computed properties:
**Space-group type**: I4/mmm, No. 139
**Energy relative to the elements**: 0.45 eV/atom
**Energy relative to the lowest polymorph listed for this composition**: 0.348 eV/atom

Unit cell a=4.715 b=4.715 c=4.715 alpha=131.85 beta=131.85 gamma=70.47
Fractional coordinates of all 4 atoms:
Cu 0.250 0.750 0.500
W 0.750 0.250 0.500
Zn 0.000 0.000 0.000
Zn 0.500 0.500 0.000


3.
VASP calculation (PBE) on an optimized crystal structure of ThTeI.

Computed properties:
**Space-group type**: I4mm, No. 107
**Formation energy without anion corrections**: -1.11 eV per atom
**Energy relative to the lowest polymorph listed for this composition**: 0.038 eV/atom

Unit cell a=3.857 b=3.857 c=7.901 alpha=104.13 beta=104.13 gamma=90.00
Fractional coordinates of all 3 atoms:
I 0.296 0.296 0.592
Te 0.045 0.045 0.089
Th 0.659 0.659 0.319


4.
VASP calculation (PBE) on an optimized crystal structure of CaNdSb2.

Computed properties:
**Space-group type**: Pmmn, No. 59
**Formation energy without anion corrections**: -0.94 eV per atom
**Energy relative to the lowest polymorph listed for this composition**: 0.001 eV/atom

Unit cell a=4.373 b=6.410 c=18.782 alpha=90.00 beta=90.00 gamma=90.00
Fractional coordinates of all 16 atoms:
Ca 0.250 0.750 0.812
Ca 0.750 0.250 0.688
Ca 0.750 0.250 0.188
Ca 0.250 0.750 0.312
Nd 0.250 0.750 0.564
Nd 0.750 0.250 0.936
Nd 0.750 0.250 0.436
Nd 0.250 0.750 0.064
Sb 0.250 0.250 0.559
Sb 0.750 0.750 0.941
Sb 0.750 0.750 0.441
Sb 0.250 0.250 0.059
Sb 0.250 0.250 0.814
Sb 0.750 0.750 0.686
Sb 0.750 0.750 0.186
Sb 0.250 0.250 0.314


5.
VASP calculation (PBE) on an optimized crystal structure of CdTe.

Computed properties:
**Space-group type**: Cmcm, No. 63
**Formation energy without anion corrections**: 0.05 eV per atom

Unit cell a=4.211 b=4.805 c=6.901 alpha=90.00 beta=107.76 gamma=90.00
Fractional coordinates of all 4 atoms:
Te 0.240 0.750 0.979
Te 0.760 0.250 0.021
Cd 0.562 0.750 0.624
Cd 0.438 0.250 0.376


6.
VASP calculation (PBE) on an optimized crystal structure of ScCd3Te.

Computed properties:
**Space-group type**: Pm-3m, No. 221
**Formation energy without anion corrections**: 0.67 eV per atom
**Energy relative to the lowest polymorph listed for this composition**: 0.111 eV/atom

Unit cell a=5.596 b=5.596 c=5.596 alpha=90.00 beta=90.00 gamma=90.00
Fractional coordinates of all 5 atoms:
Sc 0.500 0.500 0.500
Te 0.000 0.000 0.000
Cd 0.000 0.500 0.000
Cd 0.000 0.000 0.500
Cd 0.500 0.000 0.000


7.
VASP calculation (PBE) on an optimized crystal structure of Sc2InMo.

Computed properties:
**Space-group type**: R-3m, No. 166
**Energy relative to the elements**: 0.25 eV/atom

Unit cell a=10.348 b=10.348 c=10.348 alpha=18.19 beta=18.19 gamma=18.19
Fractional coordinates of all 4 atoms:
Sc 0.898 0.898 0.898
Sc 0.102 0.102 0.102
Mo 0.500 0.500 0.500
In 0.000 0.000 0.000


8.
VASP calculation (PBE) on an optimized crystal structure of Ca2AlSb.

Computed properties:
**Space-group type**: P4mm, No. 99
**Formation energy without anion corrections**: -0.24 eV per atom
**Energy relative to the lowest polymorph listed for this composition**: 0.274 eV/atom

Unit cell a=4.279 b=4.279 c=6.435 alpha=90.00 beta=90.00 gamma=90.00
Fractional coordinates of all 4 atoms:
Sb 0.000 0.000 0.482
Ca 0.000 0.000 0.960
Ca 0.500 0.500 0.292
Al 0.500 0.500 0.766


9.
VASP calculation (PBE) on an optimized crystal structure of AcZnCdAg6.

Computed properties:
**Space-group type**: Imma, No. 74
**Energy relative to the elements**: 0.05 eV/atom

Unit cell a=7.394 b=9.520 c=8.344 alpha=124.79 beta=116.30 gamma=90.00
Fractional coordinates of all 18 atoms:
Ac 0.704 0.454 0.409
Ac 0.296 0.546 0.591
Zn 0.500 0.500 0.000
Zn 0.500 0.000 0.000
Cd 0.500 0.000 0.500
Cd 0.000 0.000 0.500
Ag 0.575 0.825 0.149
Ag 0.000 0.250 0.000
Ag 0.932 0.128 0.247
Ag 0.315 0.620 0.247
Ag 0.315 0.128 0.247
Ag 0.932 0.620 0.247
Ag 0.425 0.175 0.851
Ag 0.000 0.750 0.000
Ag 0.068 0.872 0.753
Ag 0.685 0.380 0.753
Ag 0.685 0.872 0.753
Ag 0.068 0.380 0.753


10.
VASP calculation (PBE) on an optimized crystal structure of Pr6P2C.

Computed properties:
**Space-group type**: P2_1/c, No. 14
**Energy relative to the elements**: -0.64 eV/atom

Unit cell a=6.542 b=7.736 c=9.646 alpha=90.00 beta=87.68 gamma=90.00
Fractional coordinates of all 18 atoms:
Pr 0.143 0.035 0.252
Pr 0.145 0.297 0.558
Pr 0.168 0.327 0.945
Pr 0.332 0.827 0.555
Pr 0.355 0.797 0.942
Pr 0.357 0.535 0.248
Pr 0.857 0.965 0.748
Pr 0.855 0.703 0.442
Pr 0.832 0.673 0.055
Pr 0.668 0.173 0.445
Pr 0.645 0.203 0.058
Pr 0.643 0.465 0.752
P 0.061 0.620 0.755
P 0.439 0.120 0.745
P 0.561 0.880 0.255
P 0.939 0.380 0.245
C 0.500 0.500 0.000
C 0.000 0.000 0.500


11.
VASP calculation (PBE) on an optimized crystal structure of Ni2RuSe.

Computed properties:
**Space-group type**: R-3m, No. 166
**Formation energy without anion corrections**: 0.29 eV per atom

Unit cell a=8.070 b=8.070 c=8.070 alpha=19.96 beta=19.96 gamma=19.96
Fractional coordinates of all 4 atoms:
Ni 0.752 0.752 0.752
Ni 0.248 0.248 0.248
Ru 0.000 0.000 0.000
Se 0.500 0.500 0.500


12.
VASP calculation (PBE) on an optimized crystal structure of InRe2Hg.

Computed properties:
**Space-group type**: P4mm, No. 99
**Energy relative to the elements**: 0.33 eV/atom
**Energy relative to the lowest polymorph listed for this composition**: 0.030 eV/atom

Unit cell a=3.001 b=3.001 c=8.407 alpha=90.00 beta=90.00 gamma=90.00
Fractional coordinates of all 4 atoms:
Hg 0.000 0.000 0.471
In 0.500 0.500 0.784
Re 0.000 0.000 0.036
Re 0.500 0.500 0.209


13.
VASP calculation (PBE) on an optimized crystal structure of Zr2BeSi.

Computed properties:
**Space-group type**: R3m, No. 160
**Formation energy without anion corrections**: 0.23 eV per atom
**Energy relative to the lowest polymorph listed for this composition**: 0.873 eV/atom

Unit cell a=9.343 b=9.343 c=9.343 alpha=18.49 beta=18.49 gamma=18.49
Fractional coordinates of all 4 atoms:
Be 0.489 0.489 0.489
Si 0.761 0.761 0.761
Zr 0.010 0.010 0.010
Zr 0.239 0.239 0.239


14.
VASP calculation (PBE) on an optimized crystal structure of Co2CuRhN.

Computed properties:
**Space-group type**: P4/mmm, No. 123
**Formation energy without anion corrections**: 0.12 eV per atom
**Energy relative to the lowest polymorph listed for this composition**: 0.000 eV/atom

Unit cell a=3.746 b=3.746 c=4.036 alpha=90.00 beta=90.00 gamma=90.00
Fractional coordinates of all 5 atoms:
Co 0.000 0.500 0.000
Co 0.500 0.000 0.000
Rh 0.000 0.000 0.500
Cu 0.500 0.500 0.500
N 0.000 0.000 0.000


15.
VASP calculation (PBE) on an optimized crystal structure of Dy8CdIn5.

Computed properties:
**Space-group type**: I-4, No. 82
**Energy relative to the elements**: -0.28 eV/atom

Unit cell a=8.062 b=8.062 c=8.062 alpha=109.58 beta=109.25 gamma=109.58
Fractional coordinates of all 14 atoms:
Dy 0.131 0.754 0.032
Dy 0.968 0.100 0.723
Dy 0.765 0.244 0.365
Dy 0.635 0.400 0.879
Dy 0.479 0.600 0.235
Dy 0.623 0.900 0.869
Dy 0.277 0.246 0.377
Dy 0.121 0.756 0.521
Cd 0.250 0.500 0.750
In 0.007 0.376 0.130
In 0.870 0.877 0.246
In 0.754 0.624 0.631
In 0.500 0.000 0.500
In 0.369 0.123 0.993


16.
VASP calculation (PBE) on an optimized crystal structure of Ce6FeBi2Ir.

Computed properties:
**Space-group type**: P4/mmm, No. 123
**Energy relative to the elements**: -0.41 eV/atom

Unit cell a=5.391 b=5.391 c=10.177 alpha=90.00 beta=90.00 gamma=90.00
Fractional coordinates of all 10 atoms:
Ce 0.500 0.000 0.000
Ce 0.500 0.000 0.500
Ce 0.000 0.500 0.000
Ce 0.000 0.500 0.500
Ce 0.500 0.500 0.731
Ce 0.500 0.500 0.269
Fe 0.500 0.500 0.500
Bi 0.000 0.000 0.746
Bi 0.000 0.000 0.254
Ir 0.500 0.500 0.000


17.
VASP calculation (PBE) on an optimized crystal structure of MgU2Tl2Se6.

Computed properties:
**Space-group type**: C2/m, No. 12
**Formation energy without anion corrections**: -0.98 eV per atom

Unit cell a=7.082 b=7.082 c=8.206 alpha=98.17 beta=98.17 gamma=120.11
Fractional coordinates of all 11 atoms:
Mg 0.000 0.000 0.500
U 0.334 0.666 0.500
U 0.666 0.334 0.500
Tl 0.834 0.166 0.000
Tl 0.166 0.834 0.000
Se 0.738 0.738 0.696
Se 0.065 0.400 0.700
Se 0.262 0.262 0.304
Se 0.400 0.065 0.700
Se 0.935 0.600 0.300
Se 0.600 0.935 0.300


18.
VASP calculation (PBE) on an optimized crystal structure of BaYSi.

Computed properties:
**Space-group type**: F-43m, No. 216
**Formation energy without anion corrections**: 0.69 eV per atom

Unit cell a=5.211 b=5.211 c=5.211 alpha=60.00 beta=60.00 gamma=60.00
Fractional coordinates of all 3 atoms:
Ba 0.750 0.750 0.750
Si 0.000 0.000 0.000
Y 0.500 0.500 0.500


19.
VASP calculation (PBE) on an optimized crystal structure of Nd3Dy12Mg.

Computed properties:
**Space-group type**: P4/mmm, No. 123
**Energy relative to the elements**: 0.02 eV/atom

Unit cell a=5.022 b=5.022 c=20.121 alpha=90.00 beta=90.00 gamma=90.00
Fractional coordinates of all 16 atoms:
Nd 0.000 0.000 0.248
Nd 0.000 0.000 0.500
Nd 0.000 0.000 0.752
Dy 0.500 0.500 0.000
Dy 0.500 0.500 0.244
Dy 0.500 0.500 0.500
Dy 0.500 0.500 0.756
Dy 0.500 0.000 0.122
Dy 0.500 0.000 0.373
Dy 0.500 0.000 0.627
Dy 0.500 0.000 0.878
Dy 0.000 0.500 0.122
Dy 0.000 0.500 0.373
Dy 0.000 0.500 0.627
Dy 0.000 0.500 0.878
Mg 0.000 0.000 0.000


20.
VASP calculation (PBE) on an optimized crystal structure of CuSi3H.

Computed properties:
**Space-group type**: Pm-3m, No. 221
**Energy relative to the lowest polymorph listed for this composition**: 0.608 eV/atom

Unit cell a=4.487 b=4.487 c=4.487 alpha=90.00 beta=90.00 gamma=90.00
Fractional coordinates of all 5 atoms:
H 0.500 0.500 0.500
Si 0.000 0.500 0.000
Si 0.000 0.000 0.500
Si 0.500 0.000 0.000
Cu 0.000 0.000 0.000


Values of raw total energy, in order: -4.799 -4.448 -5.148 -4.691 -1.976 -1.774 -6.311 -3.211 -2.548 -6.056 -5.793 -6.659 -6.336 -6.676 -3.951 -6.482 -5.507 -3.912 -4.423 -3.564, all in eV per atom.
Values of volume, in order: 481 57 110 132 66 175 94 118 203 244 54 76 72 57 403 296 341 100 507 90, all in Å³/f.u..